# 1
## Pr5DyIn5 (GGA-PBE)

Data for a relaxed structure of Pr5DyIn5.

Cell lengths 18.1749, 5.8673, 7.0827 Å; angles 90.00, 112.80, 90.00 degrees
With the nearest neighbours (Å) after each atom.
Space group C2/m (No. 12)
Inequivalent atoms, fractional coordinates:
Pr: 0.0000 0.0000 0.0000 [2 per cell]  4 In 3.36-3.37, 2 Dy 3.54, 4 Pr 3.74
Pr: 0.1385 0.5000 0.1401 [4 per cell]  6 In 3.56-3.68, 4 Pr 3.64-3.74
Pr: 0.1892 0.5000 0.6903 [4 per cell]  7 In 3.17-3.36
Dy: 0.0000 0.0000 0.5000 [2 per cell]  6 In 2.93-3.14
In: 0.0000 0.5000 0.5000 [2 per cell]  2 Dy 2.93, 2 Pr 3.17
In: 0.1625 0.0000 0.8830 [4 per cell]  1 In 3.12, 1 Dy 3.14, 4 Pr 3.18-3.36
In: 0.1625 0.0000 0.4421 [4 per cell]  1 In 3.12, 1 Dy 3.14, 4 Pr 3.18-3.37

E_tot	-89.84	eV/cell
ΔE_f	-248	meV/atom
M_tot	0.0	Bohr magnetons per cell

# 2
## PrDy4In3 (GGA-PBE)

Data for a relaxed structure of PrDy4In3.

Cell lengths 3.5036, 8.7801, 15.4060 Å; angles 90.00, 90.00, 90.00 degrees
With the nearest neighbours (Å) after each atom.
Space group Immm (No. 71)
Inequivalent atoms, fractional coordinates:
Pr: 0.0000 0.0000 0.0000 [2 per cell]  4 In 3.38, 4 Dy 3.43, 2 Pr 3.50
Dy: 0.0000 0.3028 0.1406 [8 per cell]  5 In 3.17-3.28, 1 Pr 3.43, 3 Dy 3.46-3.50
In: 0.0000 0.0000 0.5000 [2 per cell]  8 Dy 3.28, 2 In 3.50
In: 0.0000 0.5000 0.3127 [4 per cell]  6 Dy 3.17-3.26, 2 Pr 3.38, 2 In 3.50

E_tot	-66.40	eV/cell
ΔE_f	-225	meV/atom
M_tot	0.3	Bohr magnetons per cell

# 3
## Pr3DyIn4 (GGA-PBE)

Data for a relaxed structure of Pr3DyIn4.

Cell lengths 3.8332, 7.4243, 17.9907 Å; angles 90.00, 90.00, 90.00 degrees
With the nearest neighbours (Å) after each atom.
Space group Immm (No. 71)
Inequivalent atoms, fractional coordinates:
Pr: 0.0000 0.0000 0.0000 [2 per cell]  8 In 3.34
Pr: 0.0000 0.5000 0.2061 [4 per cell]  6 In 3.25-3.36
Dy: 0.0000 0.0000 0.5000 [2 per cell]  4 In 3.17
In: 0.0000 0.2968 0.3731 [8 per cell]  1 In 3.02, 1 Dy 3.17, 5 Pr 3.25-3.36

ΔE to the lowest computed polymorph	182	meV/atom
E_tot	-64.72	eV/cell
ΔE_f	-308	meV/atom
M_tot	0.0	Bohr magnetons per cell

# 4
## PrDyIn (GGA-PBE)

Data for a relaxed structure of PrDyIn.

Cell lengths 4.6630, 4.6630, 8.5790 Å; angles 90.00, 90.00, 90.00 degrees
With the nearest neighbours (Å) after each atom.
Space group P4/nmm (No. 129, origin choice 2)
Inequivalent atoms, fractional coordinates:
Pr: 0.2500 0.7500 0.0000 [2 per cell]  4 Pr 3.30, 4 In 3.34
Dy: 0.2500 0.2500 0.3589 [2 per cell]  5 In 3.10-3.37
In: 0.2500 0.2500 0.7206 [2 per cell]  5 Dy 3.10-3.37, 4 Pr 3.34

ΔE to the lowest computed polymorph	110	meV/atom
E_tot	-25.62	eV/cell
ΔE_f	-230	meV/atom
M_tot	0.3	Bohr magnetons per cell